4
Lattice="0.000 3.991 3.991 3.991 0.000 3.991 3.991 3.991 0.000" Properties=species:S:1:pos:R:3 comment="Sr2YAu, relaxed, DFT PBE" n_ef_per_ev_atom=0.92 polymorph_energy_mev_per_atom=374 m_tot_mub_per_cell=0.00 pbc="T T T"
Sr 0.000 0.000 0.000
Sr 1.996 1.996 1.996
Y 5.987 5.987 5.987
Au 3.991 3.991 3.991